1.
# CsY3Pd (PBE, relaxed)
# Excess energy over the best structure of this formula in the dataset (eV/atom): 0.000
# Energy of formation (eV/atom): 0.06
# E (eV per atom): -5.03
# N(E_F) (states/eV/atom): 1.921
data_CsY3Pd
_chemical_formula_sum 'Cs1 Y3 Pd1'
_symmetry_space_group_name_H-M 'P m -3 m'
_symmetry_Int_Tables_number 221
_symmetry_space_group_name_Hall '-P 4 2 3'
_cell_length_a 5.6733
_cell_length_b 5.6733
_cell_length_c 5.6733
_cell_angle_alpha 90.00
_cell_angle_beta 90.00
_cell_angle_gamma 90.00
loop_
_atom_site_label
_atom_site_fract_x
_atom_site_fract_y
_atom_site_fract_z
_atom_site_occupancy
Cs1 0.0000 0.0000 0.0000 1
Y1 0.0000 0.5000 0.5000 1
Pd1 0.5000 0.5000 0.5000 1

=====

2.
# Th6BiAs4 (PBE, relaxed)
# Energy of formation (eV/atom): -1.05
# E (eV per atom): -7.14
# N(E_F) (states/eV/atom): 0.732
data_Th6BiAs4
_chemical_formula_sum 'Th24 Bi4 As16'
_symmetry_space_group_name_H-M 'C m c m'
_symmetry_Int_Tables_number 63
_symmetry_space_group_name_Hall '-C 2c 2'
_cell_length_a 4.2340
_cell_length_b 13.9361
_cell_length_c 21.7953
_cell_angle_alpha 90.00
_cell_angle_beta 90.00
_cell_angle_gamma 90.00
loop_
_atom_site_label
_atom_site_fract_x
_atom_site_fract_y
_atom_site_fract_z
_atom_site_occupancy
Th1 0.0000 0.0000 0.0000 1
Th2 0.0000 0.1458 0.2500 1
Th3 0.0000 0.2724 0.5896 1
Th4 0.0000 0.4505 0.1620 1
Bi1 0.0000 0.1748 0.7500 1
As1 0.0000 0.0860 0.1224 1
As2 0.0000 0.3581 0.0379 1